A plane-wave DFT calculation with GGA-PBE was carried out for a relaxed Ce5N4F crystal.

```
Ce5N4F
1.0
5.930 -1.783 0.000
5.930 1.783 0.000
-4.354 0.000 7.625
Ce N F
5 4 1
Direct
0.000 0.000 0.000
0.205 0.205 0.807
0.396 0.396 0.608
0.604 0.604 0.392
0.795 0.795 0.193
0.199 0.199 0.304
0.396 0.396 0.097
0.604 0.604 0.903
0.801 0.801 0.696
0.000 0.000 0.500
```



A plane-wave DFT calculation with GGA-PBE was carried out for a relaxed Ce3N2F crystal.

```
Ce3N2F
1.0
1.735 -6.201 0.000
1.735 6.201 0.000
0.000 0.000 10.735
Ce N F
6 4 2
Direct
0.105 0.895 0.750
0.383 0.617 0.580
0.383 0.617 0.920
0.617 0.383 0.080
0.617 0.383 0.420
0.895 0.105 0.250
0.000 0.000 0.000
0.000 0.000 0.500
0.487 0.513 0.750
0.513 0.487 0.250
0.220 0.780 0.250
0.780 0.220 0.750
```



A plane-wave DFT calculation with GGA-PBE was carried out for a relaxed Ce8N6F crystal.

```
Ce8N6F
1.0
9.435 0.000 0.000
-4.717 8.171 0.000
0.000 0.000 3.595
Ce N F
8 6 1
Direct
0.039 0.358 0.245
0.319 0.961 0.245
0.333 0.667 0.749
0.358 0.319 0.755
0.642 0.681 0.245
0.667 0.333 0.251
0.681 0.039 0.755
0.961 0.642 0.755
0.134 0.655 0.252
0.345 0.479 0.252
0.479 0.134 0.748
0.521 0.866 0.252
0.655 0.521 0.748
0.866 0.345 0.748
0.000 0.000 0.000
```



A plane-wave DFT calculation with GGA-PBE was carried out for a relaxed Ce2N2F crystal.

```
Ce2N2F
1.0
3.928 0.000 0.000
-1.964 3.402 0.000
0.000 0.000 6.060
Ce N F
2 2 1
Direct
0.333 0.667 0.272
0.667 0.333 0.728
0.333 0.667 0.652
0.667 0.333 0.348
0.000 0.000 0.000
```



Summary of uncorrected formation energy in meV/atom
-1746; -1595; -1288; -2124
(order as listed above)
Summary of M_tot in μB per formula unit
0.00; 4.58; 0.06; 1.07
(order as listed above)